# 1
DFT (GGA-PBE) results for a relaxed structure of BaNi4.

The structure in CIF format:
```
data_BaNi4
_chemical_formula_sum 'Ba2 Ni8'
_symmetry_space_group_name_H-M 'I m -3 m'
_symmetry_Int_Tables_number 229
_symmetry_space_group_name_Hall '-I 4 2 3'
_cell_length_a 5.857
_cell_length_b 5.857
_cell_length_c 5.857
_cell_angle_alpha 90.00
_cell_angle_beta 90.00
_cell_angle_gamma 90.00
loop_
_atom_site_label
_atom_site_fract_x
_atom_site_fract_y
_atom_site_fract_z
Ba1 0.000 0.000 0.000
Ni1 0.250 0.250 0.250
```

As for the total energy: -3.317 eV per atom. The formation energy is 1.69 eV/atom. As for the density of states at the Fermi level: 7.986 states/eV/f.u. The calculation puts the energy above the lowest structure with this stoichiometry at 0.00 eV/f.u.


# 2
DFT (GGA-PBE) results for a relaxed structure of Ba2Ni3.

The structure in CIF format:
```
data_Ba2Ni3
_chemical_formula_sum 'Ba2 Ni3'
_symmetry_space_group_name_H-M 'P -3 m 1'
_symmetry_Int_Tables_number 164
_symmetry_space_group_name_Hall '-P 3 2"'
_cell_length_a 4.2007
_cell_length_b 4.2007
_cell_length_c 9.2401
_cell_angle_alpha 90.00
_cell_angle_beta 90.00
_cell_angle_gamma 120.00
loop_
_atom_site_label
_atom_site_fract_x
_atom_site_fract_y
_atom_site_fract_z
Ba1 0.3333 0.6667 0.2282
Ni1 0.0000 0.0000 0.5000
Ni2 0.3333 0.6667 0.5334
```

As for the total energy: -4.280 eV per atom. The formation energy is -0.04 eV/atom. As for the density of states at the Fermi level: 6.101 states/eV/f.u.